(1)
Pr2YAl6: optimized geometry, PBE-GGA.

Properties
Spin magnetization = 0.0 μB/f.u.
Uncorrected energy = -80.4 eV/cell

Geometry as CIF:
```
data_Pr2YAl6
_chemical_formula_sum 'Pr4 Y2 Al12'
_cell_length_a 4.476
_cell_length_b 7.269
_cell_length_c 13.787
_cell_angle_alpha 90.00
_cell_angle_beta 90.00
_cell_angle_gamma 90.00
_symmetry_space_group_name_H-M 'I m m m'
_symmetry_Int_Tables_number 71
_symmetry_space_group_name_Hall '-I 2 2'
loop_
_atom_site_label
_atom_site_fract_x
_atom_site_fract_y
_atom_site_fract_z
Pr1 0.000 0.000 0.125
Y1 0.000 0.500 0.000
Al1 0.000 0.189 0.318
Al2 0.000 0.305 0.500
```

(2)
Nd12Sm6Mg: optimized geometry, PBE-GGA.

Properties
Spin magnetization = 0.0 μB/f.u.
Uncorrected energy = -254.8 eV/cell

Geometry as CIF:
```
data_Nd12Sm6Mg
_chemical_formula_sum 'Nd36 Sm18 Mg3'
_cell_length_a 12.1993
_cell_length_b 12.1993
_cell_length_c 15.4060
_cell_angle_alpha 90.00
_cell_angle_beta 90.00
_cell_angle_gamma 120.00
_symmetry_space_group_name_H-M 'R -3'
_symmetry_Int_Tables_number 148
_symmetry_space_group_name_Hall '-R 3'
loop_
_atom_site_label
_atom_site_fract_x
_atom_site_fract_y
_atom_site_fract_z
Nd1 0.0048 0.8294 0.3123
Nd2 0.0474 0.1989 0.9160
Sm1 0.0188 0.5909 0.1888
Mg1 0.0000 0.0000 0.5000
```

(3)
Ho2CdPt: optimized geometry, PBE-GGA.

Properties
Spin magnetization = 0.0 μB/f.u.
Uncorrected energy = -76.2 eV/cell

Geometry as CIF:
```
data_Ho2CdPt
_chemical_formula_sum 'Ho8 Cd4 Pt4'
_cell_length_a 7.173
_cell_length_b 7.173
_cell_length_c 7.173
_cell_angle_alpha 90.00
_cell_angle_beta 90.00
_cell_angle_gamma 90.00
_symmetry_space_group_name_H-M 'F m -3 m'
_symmetry_Int_Tables_number 225
_symmetry_space_group_name_Hall '-F 4 2 3'
loop_
_atom_site_label
_atom_site_fract_x
_atom_site_fract_y
_atom_site_fract_z
Ho1 0.250 0.250 0.250
Cd1 0.000 0.000 0.000
Pt1 0.000 0.000 0.500
```

(4)
Ho5Cd2Ga2: optimized geometry, PBE-GGA.

Properties
Spin magnetization = 0.0 μB/f.u.
Uncorrected energy = -137.4 eV/cell

Geometry as CIF:
```
data_Ho5Cd2Ga2
_chemical_formula_sum 'Ho20 Cd8 Ga8'
_cell_length_a 16.395
_cell_length_b 7.591
_cell_length_c 7.548
_cell_angle_alpha 90.00
_cell_angle_beta 90.00
_cell_angle_gamma 90.00
_symmetry_space_group_name_H-M 'C m c e'
_symmetry_Int_Tables_number 64
_symmetry_space_group_name_Hall '-C 2ac 2'
loop_
_atom_site_label
_atom_site_fract_x
_atom_site_fract_y
_atom_site_fract_z
Ho1 0.000 0.000 0.000
Ho2 0.129 0.185 0.321
Cd1 0.221 0.000 0.000
Ga1 0.000 0.119 0.620
```